Material: Ba3CrSi2O8
Method: DFT, GGA+U
State: relaxed

```
data_Ba3CrSi2O8
_chemical_formula_sum 'Ba3 Cr1 Si2 O8'
_cell_length_a 5.7309
_cell_length_b 5.7309
_cell_length_c 7.4045
_cell_angle_alpha 90.00
_cell_angle_beta 90.00
_cell_angle_gamma 120.00
_symmetry_space_group_name_H-M 'P -3 m 1'
_symmetry_Int_Tables_number 164
_symmetry_space_group_name_Hall '-P 3 2"'
loop_
_atom_site_label
_atom_site_type_symbol
_atom_site_fract_x
_atom_site_fract_y
_atom_site_fract_z
Ba1 Ba 0.0000 0.0000 0.0000
Ba2 Ba 0.3333 0.6667 0.6705
Cr1 Cr 0.0000 0.0000 0.5000
Si1 Si 0.3333 0.6667 0.2318
O1 O 0.1771 0.3543 0.3163
O2 O 0.3333 0.6667 0.0136
```

Computed properties:
* magnetic moment: 4.00 Bohr magnetons per cell
* density: 5.11 Mg/m³
* uncorrected energy: -7.26 eV/atom
* DOS at the Fermi energy: 0.347 states/eV/atom